[1]
VASP calculation (PBE-GGA) on a relaxed Cr2ReAg2 crystal.

formation energy from the elements: 1.062 eV per atom
V: 78.7 Å³/f.u.
density of states at the Fermi level: 5.0 states/eV/f.u.
mass density: 10.7 g cm⁻³

The structure in POSCAR format:
```
Cr2ReAg2
1.0
6.645 1.174 5.873
3.361 3.234 7.633
-5.580 -3.987 -5.743
Re Ag Cr
1 2 2
direct
0.000 0.000 0.000 Re
0.613 0.613 0.000 Ag
0.387 0.387 0.000 Ag
0.250 0.750 0.500 Cr
0.750 0.250 0.500 Cr
```

---

[2]
VASP calculation (PBE-GGA) on a relaxed Li2Pm5Pb5 crystal.

formation energy from the elements: -0.512 eV per atom
V: 338.2 Å³/f.u.
density of states at the Fermi level: 5.6 states/eV/f.u.
energy above the lowest structure with this stoichiometry: 0 meV/atom
mass density: 8.7 g cm⁻³

The structure in POSCAR format:
```
Li2Pm5Pb5
1.0
4.592 0.000 1.298
1.880 8.173 2.118
-0.058 -0.113 8.974
Pm Pb Li
5 5 2
direct
0.500 0.500 0.500 Pm
0.395 0.287 0.924 Pm
0.311 0.047 0.330 Pm
0.605 0.713 0.076 Pm
0.689 0.953 0.670 Pm
0.749 0.315 0.186 Pb
0.938 0.761 0.362 Pb
0.251 0.685 0.814 Pb
0.000 0.000 0.000 Pb
0.062 0.239 0.638 Pb
0.147 0.465 0.241 Li
0.853 0.535 0.759 Li
```

---

[3]
VASP calculation (PBE-GGA) on a relaxed ZnAg2HO crystal.

electronic total energy: -2.7924 eV per atom
V: 63.2 Å³/f.u.
density of states at the Fermi level: 1.2 states/eV/f.u.
mass density: 7.8 g cm⁻³

The structure in POSCAR format:
```
ZnAg2HO
1.0
-2.320 -2.220 -2.419
1.125 -3.235 1.891
-3.073 0.426 2.557
Ag O H Zn
2 1 1 1
direct
0.500 0.000 0.000 Ag
0.000 0.000 0.500 Ag
0.500 0.500 0.500 O
0.000 0.000 0.000 H
0.000 0.500 0.000 Zn
```

---

[4]
VASP calculation (PBE-GGA) on a relaxed Np6TlS8 crystal.

formation energy (no corrections): -0.817 eV/atom
V: 379.1 Å³/f.u.
density of states at the Fermi level: 8.0 states/eV/f.u.
mass density: 8.2 g cm⁻³

The structure in POSCAR format:
```
Np6TlS8
1.0
7.269 -0.266 -0.275
-0.492 7.257 -0.275
-0.492 -0.508 7.244
S Np Tl
8 6 1
direct
0.285 0.285 0.285 S
0.715 0.715 0.715 S
0.372 0.058 0.758 S
0.058 0.758 0.372 S
0.242 0.628 0.942 S
0.942 0.242 0.628 S
0.628 0.942 0.242 S
0.758 0.372 0.058 S
0.621 0.355 0.710 Np
0.355 0.710 0.621 Np
0.645 0.290 0.379 Np
0.290 0.379 0.645 Np
0.379 0.645 0.290 Np
0.710 0.621 0.355 Np
0.000 0.000 0.000 Tl
```

---

[5]
VASP calculation (PBE-GGA) on a relaxed NaPmGd crystal.

formation energy from the elements: 0.132 eV per atom
V: 103.4 Å³/f.u.
density of states at the Fermi level: 3.3 states/eV/f.u.
energy above the lowest structure with this stoichiometry: 16 meV/atom
mass density: 5.2 g cm⁻³

The structure in POSCAR format:
```
NaPmGd
1.0
-0.787 -1.758 -2.991
2.291 -2.567 0.907
-6.733 -1.797 4.943
Gd Na Pm
1 1 1
direct
0.325 0.325 0.650 Gd
0.000 0.000 0.000 Na
0.675 0.675 0.350 Pm
```

---

[6]
VASP calculation (PBE-GGA) on a relaxed Li3CeCd3 crystal.

formation energy from the elements: 0.198 eV per atom
V: 174.1 Å³/f.u.
density of states at the Fermi level: 13.5 states/eV/f.u.
mass density: 4.8 g cm⁻³

The structure in POSCAR format:
```
Li3CeCd3
1.0
-3.889 -5.858 -0.233
3.584 -2.154 -5.658
4.640 -3.246 4.175
Cd Li Ce
6 6 2
direct
0.250 0.500 0.000 Cd
0.000 0.750 0.500 Cd
0.750 0.500 0.000 Cd
0.500 0.000 0.250 Cd
0.000 0.250 0.500 Cd
0.500 0.000 0.750 Cd
0.500 0.750 0.000 Li
0.000 0.500 0.250 Li
0.250 0.000 0.500 Li
0.750 0.000 0.500 Li
0.000 0.500 0.750 Li
0.500 0.250 0.000 Li
0.000 0.000 0.000 Ce
0.500 0.500 0.500 Ce
```

---

[7]
VASP calculation (PBE-GGA) on a relaxed YCd2Hg5 crystal.

formation energy from the elements: -0.164 eV per atom
V: 193.3 Å³/f.u.
density of states at the Fermi level: 3.3 states/eV/f.u.
energy above the lowest structure with this stoichiometry: 0 meV/atom
mass density: 11.3 g cm⁻³

The structure in POSCAR format:
```
YCd2Hg5
1.0
9.327 0.000 0.000
0.000 8.742 0.000
0.000 0.000 9.484
Hg Cd Y
20 8 4
direct
0.249 0.750 0.250 Hg
0.254 0.000 0.000 Hg
0.751 0.750 0.750 Hg
0.000 0.756 0.500 Hg
0.000 0.244 0.500 Hg
0.254 0.500 0.500 Hg
0.751 0.250 0.750 Hg
0.249 0.750 0.750 Hg
0.249 0.250 0.750 Hg
0.500 0.774 0.500 Hg
0.751 0.750 0.250 Hg
0.249 0.250 0.250 Hg
0.500 0.274 0.000 Hg
0.500 0.726 0.000 Hg
0.746 0.500 0.500 Hg
0.000 0.744 0.000 Hg
0.500 0.226 0.500 Hg
0.000 0.256 0.000 Hg
0.746 0.000 0.000 Hg
0.751 0.250 0.250 Hg
0.000 0.000 0.757 Cd
0.240 0.500 0.000 Cd
0.240 0.000 0.500 Cd
0.760 0.500 0.000 Cd
0.000 0.000 0.243 Cd
0.000 0.500 0.257 Cd
0.760 0.000 0.500 Cd
0.000 0.500 0.743 Cd
0.500 0.500 0.267 Y
0.500 0.500 0.733 Y
0.500 0.000 0.767 Y
0.500 0.000 0.233 Y
```

---

[8]
VASP calculation (PBE-GGA) on a relaxed ErNi6Sn6 crystal.

formation energy from the elements: -0.306 eV per atom
V: 221.0 Å³/f.u.
density of states at the Fermi level: 6.8 states/eV/f.u.
mass density: 9.3 g cm⁻³

The structure in POSCAR format:
```
ErNi6Sn6
1.0
5.449 0.000 0.000
2.724 6.376 0.186
2.724 0.339 6.370
Sn Ni Er
6 6 1
direct
0.000 0.336 0.664 Sn
0.667 0.833 0.833 Sn
0.335 0.665 0.665 Sn
0.665 0.335 0.335 Sn
0.333 0.167 0.167 Sn
0.000 0.664 0.336 Sn
0.000 0.500 0.000 Ni
0.500 0.251 0.749 Ni
0.500 0.749 0.251 Ni
0.000 0.000 0.500 Ni
0.500 0.000 0.500 Ni
0.500 0.500 0.000 Ni
0.000 0.000 0.000 Er
```

---

[9]
VASP calculation (PBE-GGA) on a relaxed FeRe2Rh crystal.

formation energy from the elements: 0.072 eV per atom
V: 56.8 Å³/f.u.
density of states at the Fermi level: 4.9 states/eV/f.u.
energy above the lowest structure with this stoichiometry: 81 meV/atom
mass density: 15.5 g cm⁻³

The structure in POSCAR format:
```
FeRe2Rh
1.0
8.867 -0.023 -0.013
8.451 2.686 -0.013
8.451 1.300 2.351
Re Rh Fe
2 1 1
direct
0.250 0.250 0.250 Re
0.002 0.002 0.002 Re
0.497 0.497 0.497 Rh
0.751 0.751 0.751 Fe
```

---

[10]
VASP calculation (PBE-GGA) on a relaxed CaBe2As crystal.

formation energy from the elements: 0.347 eV per atom
V: 67.4 Å³/f.u.
density of states at the Fermi level: 1.9 states/eV/f.u.
mass density: 3.3 g cm⁻³

The structure in POSCAR format:
```
CaBe2As
1.0
-4.979 0.832 -0.338
-2.591 -4.308 -0.573
3.555 1.502 3.272
Ca As Be
1 1 2
direct
0.500 0.500 0.000 Ca
0.750 0.250 0.500 As
0.000 0.000 0.000 Be
0.250 0.750 0.500 Be
```

---

[11]
VASP calculation (PBE-GGA) on a relaxed Rb2Pa2MoN6 crystal.

formation energy (no corrections): -0.837 eV/atom
V: 206.0 Å³/f.u.
mass density: 6.6 g cm⁻³

The structure in POSCAR format:
```
Rb2Pa2MoN6
1.0
-5.107 -2.118 -2.019
1.492 -0.873 5.627
-2.069 6.701 0.694
N Rb Pa Mo
6 2 2 1
direct
0.644 0.959 0.351 N
0.959 0.644 0.351 N
0.260 0.260 0.348 N
0.041 0.356 0.649 N
0.740 0.740 0.652 N
0.356 0.041 0.649 N
0.839 0.161 0.000 Rb
0.161 0.839 0.000 Rb
0.666 0.334 0.500 Pa
0.334 0.666 0.500 Pa
0.000 0.000 0.500 Mo
```

---

[12]
VASP calculation (PBE-GGA) on a relaxed TbCe2Ir crystal.

formation energy from the elements: -0.075 eV per atom
V: 122.1 Å³/f.u.
density of states at the Fermi level: 11.5 states/eV/f.u.
energy above the lowest structure with this stoichiometry: 358 meV/atom
mass density: 8.6 g cm⁻³

The structure in POSCAR format:
```
TbCe2Ir
1.0
3.751 0.000 0.000
1.875 3.248 0.000
1.875 1.083 10.024
Ce Tb Ir
2 1 1
direct
0.892 0.892 0.325 Ce
0.108 0.108 0.675 Ce
0.000 0.000 0.000 Tb
0.500 0.500 0.500 Ir
```

---

[13]
VASP calculation (PBE-GGA) on a relaxed Rb2CdAsI6 crystal.

formation energy (no corrections): -0.734 eV/atom
V: 426.3 Å³/f.u.
density of states at the Fermi level: 2.8 states/eV/f.u.
mass density: 4.4 g cm⁻³

The structure in POSCAR format:
```
Rb2CdAsI6
1.0
8.456 0.000 0.000
0.000 8.456 0.000
4.228 4.228 5.963
I As Cd Rb
6 1 1 2
direct
0.744 0.256 0.000 I
0.256 0.256 0.000 I
0.744 0.744 0.000 I
0.745 0.745 0.510 I
0.256 0.744 0.000 I
0.255 0.255 0.490 I
0.500 0.500 0.000 As
0.000 0.000 0.000 Cd
0.750 0.250 0.500 Rb
0.250 0.750 0.500 Rb
```

---

[14]
VASP calculation (PBE-GGA) on a relaxed CePm2Ru crystal.

formation energy from the elements: -0.261 eV per atom
V: 114.3 Å³/f.u.
density of states at the Fermi level: 6.9 states/eV/f.u.
energy above the lowest structure with this stoichiometry: 0 meV/atom
mass density: 7.7 g cm⁻³

The structure in POSCAR format:
```
CePm2Ru
1.0
6.435 0.000 0.000
0.000 7.160 0.000
0.000 0.000 9.925
Pm Ce Ru
8 4 4
direct
0.827 0.328 0.934 Pm
0.327 0.172 0.066 Pm
0.673 0.828 0.566 Pm
0.327 0.172 0.434 Pm
0.173 0.672 0.434 Pm
0.827 0.328 0.566 Pm
0.173 0.672 0.066 Pm
0.673 0.828 0.934 Pm
0.159 0.947 0.750 Ce
0.659 0.553 0.250 Ce
0.841 0.053 0.250 Ce
0.341 0.447 0.750 Ce
0.497 0.862 0.250 Ru
0.003 0.362 0.250 Ru
0.997 0.638 0.750 Ru
0.503 0.138 0.750 Ru
```

---

[15]
VASP calculation (PBE-GGA) on a relaxed Zr2TaHPd crystal.

V: 80.0 Å³/f.u.
density of states at the Fermi level: 4.4 states/eV/f.u.
energy above the lowest structure with this stoichiometry: 28 meV/atom
mass density: 9.8 g cm⁻³

The structure in POSCAR format:
```
Zr2TaHPd
1.0
4.694 0.000 0.000
0.000 4.694 0.000
0.000 0.000 3.632
Zr H Pd Ta
2 1 1 1
direct
0.500 0.000 0.000 Zr
0.000 0.500 0.000 Zr
0.000 0.000 0.000 H
0.000 0.000 0.500 Pd
0.500 0.500 0.500 Ta
```

---

[16]
VASP calculation (PBE-GGA) on a relaxed ScAgW4 crystal.

formation energy from the elements: 0.433 eV per atom
V: 109.0 Å³/f.u.
density of states at the Fermi level: 7.6 states/eV/f.u.
mass density: 13.5 g cm⁻³

The structure in POSCAR format:
```
ScAgW4
1.0
0.118 -4.520 -2.883
-4.317 -3.175 -0.185
-2.862 -0.373 -4.519
W Sc Ag
4 1 1
direct
0.124 0.625 0.625 W
0.625 0.124 0.625 W
0.625 0.625 0.124 W
0.625 0.625 0.625 W
0.000 0.000 0.000 Sc
0.250 0.250 0.250 Ag
```

---

[17]
VASP calculation (PBE-GGA) on a relaxed La2PmHo4Sc crystal.

formation energy from the elements: 0.398 eV per atom
V: 262.1 Å³/f.u.
density of states at the Fermi level: 18.6 states/eV/f.u.
mass density: 7.1 g cm⁻³

The structure in POSCAR format:
```
La2PmHo4Sc
1.0
9.305 0.023 -1.681
0.017 9.305 -1.681
-5.993 -5.997 8.216
Pm Ho Sc La
2 8 2 4
direct
0.000 0.500 0.500 Pm
0.000 0.500 0.000 Pm
0.766 0.236 0.001 Ho
0.736 0.266 0.501 Ho
0.249 0.249 0.017 Ho
0.751 0.751 0.983 Ho
0.749 0.749 0.517 Ho
0.251 0.251 0.483 Ho
0.234 0.764 0.999 Ho
0.264 0.734 0.499 Ho
0.000 0.000 0.000 Sc
0.500 0.500 0.500 Sc
0.000 0.000 0.500 La
0.500 0.000 0.500 La
0.500 0.500 0.000 La
0.500 0.000 0.000 La
```

---

[18]
VASP calculation (PBE-GGA) on a relaxed CrRe2Hg crystal.

formation energy from the elements: 1.027 eV per atom
V: 71.5 Å³/f.u.
density of states at the Fermi level: 3.9 states/eV/f.u.
mass density: 14.5 g cm⁻³

The structure in POSCAR format:
```
CrRe2Hg
1.0
-1.914 3.324 -0.080
-0.189 -0.016 3.832
7.352 6.503 2.310
Hg Cr Re
2 2 4
direct
0.750 0.250 0.500 Hg
0.000 0.000 0.000 Hg
0.250 0.750 0.500 Cr
0.500 0.500 0.000 Cr
0.572 0.125 0.250 Re
0.875 0.822 0.750 Re
0.375 0.428 0.750 Re
0.178 0.625 0.250 Re
```

---

[19]
VASP calculation (PBE-GGA) on a relaxed GaBMo2 crystal.

formation energy from the elements: -0.147 eV per atom
V: 55.9 Å³/f.u.
density of states at the Fermi level: 3.6 states/eV/f.u.
energy above the lowest structure with this stoichiometry: 0 meV/atom
mass density: 8.1 g cm⁻³

The structure in POSCAR format:
```
GaBMo2
1.0
3.109 0.000 0.000
1.554 2.692 0.000
1.554 0.897 6.675
B Mo Ga
1 2 1
direct
0.000 0.000 0.000 B
0.273 0.273 0.180 Mo
0.727 0.727 0.820 Mo
0.500 0.500 0.500 Ga
```

---

[20]
VASP calculation (PBE-GGA) on a relaxed CeGdGaHg crystal.

formation energy from the elements: -0.440 eV per atom
V: 103.6 Å³/f.u.
density of states at the Fermi level: 9.0 states/eV/f.u.
mass density: 9.1 g cm⁻³

The structure in POSCAR format:
```
CeGdGaHg
1.0
-5.001 -0.354 1.632
-1.149 -2.628 4.424
-1.563 2.627 4.296
Ce Gd Ga Hg
1 1 1 1
direct
0.000 0.000 0.000 Ce
0.500 0.500 0.500 Gd
0.250 0.250 0.250 Ga
0.750 0.750 0.750 Hg
```